Density functional theory data (GGA-PBE) for a geometry-optimized Tm4Ga12Pt structure.

Size of the total moment   0.0 μB/f.u.
Calculated total energy   -70.47 eV per formula unit
Calculated formation energy   -0.60 eV per atom

Cell: 7.418 7.418 7.418 Å, 109.47 109.47 109.47°
Atoms (fractional coordinates):
Ga 0.250 0.500 0.750
Tm 0.500 0.500 0.500
Tm 0.000 0.000 0.500
Ga 0.297 0.000 0.297
Ga 0.297 0.297 0.000
Ga 0.703 0.000 0.703
Ga 0.500 0.250 0.750
Pt 0.000 0.000 0.000
Ga 0.250 0.750 0.500
Ga 0.000 0.703 0.703
Tm 0.000 0.500 0.000
Ga 0.703 0.703 0.000
Ga 0.500 0.750 0.250
Tm 0.500 0.000 0.000
Ga 0.750 0.250 0.500
Ga 0.000 0.297 0.297
Ga 0.750 0.500 0.250

***

Density functional theory data (GGA-PBE) for a geometry-optimized Tm8GaPt2 structure.

Size of the total moment   0.2 μB/f.u.
Calculated total energy   -56.65 eV per formula unit
Calculated formation energy   -0.52 eV per atom

Cell: 5.384 7.858 7.858 Å, 114.11 98.74 98.74°
Atoms (fractional coordinates):
Tm 0.410 0.922 0.671
Tm 0.999 0.236 0.768
Ga 0.017 0.003 0.003
Tm 0.584 0.334 0.083
Tm 0.999 0.768 0.236
Pt 0.499 0.698 0.309
Tm 0.191 0.386 0.386
Tm 0.808 0.622 0.622
Tm 0.584 0.083 0.334
Pt 0.499 0.309 0.698
Tm 0.410 0.671 0.922